# 1
This record from the Alexandria database describes CaTaTlP2 after structural relaxation. The functional is GGA-PBE.

Unit cell a=5.0019 b=5.3530 c=5.0019 alpha=90.00 beta=90.00 gamma=90.00
Last column: nearest neighbours and their distance in Å.
Fractional coordinates of all 5 atoms:
P: 0.0000 0.0000 0.5000  2 Ca 2.50
P: 0.5000 0.0000 0.0000  2 Ca 2.50
Tl: 0.0000 0.5000 0.0000  2 Ca 2.68
Ca: 0.0000 0.0000 0.0000  4 P 2.50, 2 Tl 2.68
Ta: 0.5000 0.5000 0.5000  4 Tl 3.54, 8 P 3.66

Output
VASP energy ... -3.82 eV/atom
Energy of formation from the pure elements ... 36.73 kcal/mol of atoms
SG ... P4/mmm, No. 123

# 2
This record from the Alexandria database describes Re2RuPt after structural relaxation. The functional is GGA-PBE.

Unit cell a=4.8033 b=4.8033 c=4.8051 alpha=132.66 beta=132.66 gamma=69.17
Last column: nearest neighbours and their distance in Å.
Fractional coordinates of all 4 atoms:
Pt: 0.2500 0.7500 0.5000  4 Ru 2.73, 8 Re 2.76
Re: 0.0000 0.0000 0.0000  4 Re 2.73, 4 Pt 2.76, 4 Ru 2.76
Re: 0.5000 0.5000 0.0000  4 Re 2.73, 4 Pt 2.76, 4 Ru 2.76
Ru: 0.7500 0.2500 0.5000  4 Pt 2.73, 8 Re 2.76

Output
VASP energy ... -10.08 eV/atom
Energy above the most stable polymorph in this dataset ... 99 meV/atom
Energy of formation from the pure elements ... -0.66 kcal/mol of atoms
SG ... I4/mmm, No. 139

# 3
This record from the Alexandria database describes La2Pr4Sm after structural relaxation. The functional is GGA-PBE.

Unit cell a=7.2386 b=8.6017 c=8.6298 alpha=87.06 beta=98.48 gamma=98.77
Last column: nearest neighbours and their distance in Å.
Fractional coordinates of all 14 atoms:
Pr: 0.3813 0.3583 0.3529  1 Sm 3.40, 4 Pr 3.43-3.68, 2 La 3.45-3.60
Pr: 0.6187 0.1468 0.1420  1 Sm 3.40, 4 Pr 3.43-3.68, 2 La 3.45-3.60
Pr: 0.3813 0.8532 0.8580  1 Sm 3.40, 4 Pr 3.43-3.68, 2 La 3.45-3.60
Pr: 0.6187 0.6417 0.6471  1 Sm 3.40, 4 Pr 3.43-3.68, 2 La 3.45-3.60
Pr: 0.7309 0.7486 0.2498  1 Sm 3.21, 3 La 3.33-3.55, 1 Pr 3.36
Pr: 0.7322 0.2481 0.7492  3 La 3.21-3.54, 1 Sm 3.33, 1 Pr 3.36
Pr: 0.2678 0.7519 0.2508  3 La 3.21-3.54, 1 Sm 3.33, 1 Pr 3.36
Pr: 0.2691 0.2514 0.7502  1 Sm 3.21, 3 La 3.33-3.55, 1 Pr 3.36
Sm: 0.5000 0.5000 0.0000  6 Pr 3.21-3.40
Sm: 0.0000 0.5000 0.0000  2 Pr 3.33, 2 Sm 3.62
La: 0.0000 0.0000 0.0000  6 Pr 3.54-3.60
La: 0.0000 0.0000 0.5000  2 Pr 3.33, 2 La 3.62
La: 0.0000 0.5000 0.5000  6 Pr 3.54-3.60
La: 0.5000 0.0000 0.5000  6 Pr 3.21-3.45

Output
VASP energy ... -4.58 eV/atom
Energy above the most stable polymorph in this dataset ... 34 meV/atom
Energy of formation from the pure elements ... 5.35 kcal/mol of atoms
SG ... P-1, No. 2

# 4
This record from the Alexandria database describes Nd3PSe2 after structural relaxation. The functional is GGA-PBE.

Unit cell a=4.1788 b=5.9340 c=7.3548 alpha=113.79 beta=106.50 gamma=90.00
Last column: nearest neighbours and their distance in Å.
Fractional coordinates of all 6 atoms:
Nd: 0.8463 0.3463 0.1926  2 P 2.87, 4 Se 2.97-3.08
Nd: 0.1537 0.6537 0.8074  2 P 2.87, 4 Se 2.97-3.08
Nd: 0.5000 0.0000 0.5000  2 P 2.97, 4 Se 3.01
P: 0.5000 0.5000 0.5000  6 Nd 2.87-2.97
Se: 0.8304 0.8304 0.1608  6 Nd 2.97-3.08
Se: 0.1696 0.1696 0.8392  6 Nd 2.97-3.08

Output
VASP energy ... -6.26 eV/atom
Energy above the most stable polymorph in this dataset ... 0 meV/atom
Raw formation energy ... -1809 meV per atom
SG ... Immm, No. 71

# 5
This record from the Alexandria database describes TaRh2Cl after structural relaxation. The functional is GGA-PBE.

Unit cell a=6.6275 b=6.6275 c=6.6275 alpha=153.85 beta=142.55 gamma=46.25
Last column: nearest neighbours and their distance in Å.
Fractional coordinates of all 4 atoms:
Cl: 0.3159 0.8159 0.5000  2 Ta 2.59
Rh: 0.0313 0.0313 0.0000  4 Ta 2.65, 2 Rh 2.67
Rh: 0.6633 0.1633 0.5000  2 Ta 2.60, 2 Rh 2.67
Ta: 0.4895 0.4895 0.0000  2 Cl 2.59, 6 Rh 2.60-2.65

Output
VASP energy ... -7.08 eV/atom
Energy above the most stable polymorph in this dataset ... 369 meV/atom
Raw formation energy ... 24 meV per atom
SG ... Imm2, No. 44

# 6
This record from the Alexandria database describes La4RuPtCl2 after structural relaxation. The functional is GGA-PBE.

Unit cell a=4.1837 b=7.2660 c=8.0242 alpha=107.61 beta=90.00 gamma=90.00
Last column: nearest neighbours and their distance in Å.
Fractional coordinates of all 8 atoms:
La: 0.5000 0.2459 0.2038  1 Ru 2.81, 2 Pt 2.91
La: 0.5000 0.7541 0.7962  1 Ru 2.81, 2 Pt 2.91
La: 0.0000 0.2736 0.7923  2 Ru 2.86, 1 Pt 2.96
La: 0.0000 0.7264 0.2077  2 Ru 2.86, 1 Pt 2.96
Ru: 0.5000 0.5000 0.0000  6 La 2.81-2.86
Pt: 0.0000 0.0000 0.0000  6 La 2.91-2.96
Cl: 0.5000 0.0000 0.5000  6 La 3.32-3.38
Cl: 0.0000 0.5000 0.5000  6 La 3.25-3.28

Output
VASP energy ... -6.11 eV/atom
Raw formation energy ... -1268 meV per atom
SG ... P2/m, No. 10

# 7
This record from the Alexandria database describes Re3C after structural relaxation. The functional is GGA-PBE.

Unit cell a=6.0694 b=6.0694 c=2.8354 alpha=90.00 beta=90.00 gamma=99.37
Last column: nearest neighbours and their distance in Å.
Fractional coordinates of all 8 atoms:
Re: 0.1229 0.8771 0.7500  2 C 2.18
Re: 0.8771 0.1229 0.2500  2 C 2.18
Re: 0.1815 0.4452 0.7500  2 C 2.13
Re: 0.8185 0.5548 0.2500  2 C 2.13
Re: 0.5548 0.8185 0.7500  2 C 2.13
Re: 0.4452 0.1815 0.2500  2 C 2.13
C: 0.3020 0.6980 0.2500  6 Re 2.13-2.18
C: 0.6980 0.3020 0.7500  6 Re 2.13-2.18

Output
VASP energy ... -11.38 eV/atom
Energy above the most stable polymorph in this dataset ... 283 meV/atom
Energy of formation from the pure elements ... 6.14 kcal/mol of atoms
SG ... Cmcm, No. 63

# 8
This record from the Alexandria database describes Mg3Cd after structural relaxation. The functional is GGA-PBE.

Unit cell a=8.2100 b=8.6153 c=5.2878 alpha=90.00 beta=90.00 gamma=90.00
Last column: nearest neighbours and their distance in Å.
Fractional coordinates of all 16 atoms:
Cd: 0.1326 0.7500 0.5552  9 Mg 2.87-3.01
Cd: 0.3674 0.2500 0.0552  9 Mg 2.87-3.01
Cd: 0.6326 0.7500 0.9448  9 Mg 2.87-3.01
Cd: 0.8674 0.2500 0.4448  9 Mg 2.87-3.01
Mg: 0.0237 0.2500 0.9309  3 Cd 2.87-3.01
Mg: 0.1779 0.0709 0.4300  3 Cd 2.87-2.98, 3 Mg 3.09-3.14
Mg: 0.1779 0.4291 0.4300  3 Cd 2.87-2.98, 3 Mg 3.09-3.14
Mg: 0.3221 0.5709 0.9300  3 Cd 2.87-2.98, 3 Mg 3.09-3.14
Mg: 0.3221 0.9291 0.9300  3 Cd 2.87-2.98, 3 Mg 3.09-3.14
Mg: 0.4763 0.7500 0.4309  3 Cd 2.87-3.01
Mg: 0.5237 0.2500 0.5691  3 Cd 2.87-3.01
Mg: 0.6779 0.0709 0.0700  3 Cd 2.87-2.98, 3 Mg 3.09-3.14
Mg: 0.6779 0.4291 0.0700  3 Cd 2.87-2.98, 3 Mg 3.09-3.14
Mg: 0.8221 0.5709 0.5700  3 Cd 2.87-2.98, 3 Mg 3.09-3.14
Mg: 0.8221 0.9291 0.5700  3 Cd 2.87-2.98, 3 Mg 3.09-3.14
Mg: 0.9763 0.7500 0.0691  3 Cd 2.87-3.01

Output
VASP energy ... -1.45 eV/atom
Energy of formation from the pure elements ... -0.53 kcal/mol of atoms
SG ... Pnma, No. 62

# 9
This record from the Alexandria database describes SnNO2F after structural relaxation. The functional is GGA-PBE.

Unit cell a=3.8746 b=3.8746 c=3.6297 alpha=90.00 beta=90.00 gamma=90.00
Last column: nearest neighbours and their distance in Å.
Fractional coordinates of all 5 atoms:
N: 0.0000 0.0000 0.5000  2 F 1.81
Sn: 0.5000 0.5000 0.5000  8 O 2.65, 4 N 2.74
O: 0.0000 0.5000 0.0000  2 F 1.94
O: 0.5000 0.0000 0.0000  2 F 1.94
F: 0.0000 0.0000 0.0000  2 N 1.81, 4 O 1.94

Output
VASP energy ... -3.65 eV/atom
Raw formation energy ... 1176 meV per atom
SG ... P4/mmm, No. 123

# 10
This record from the Alexandria database describes Ca2TaTl2S6 after structural relaxation. The functional is GGA-PBE.

Unit cell a=6.8247 b=6.8247 c=7.3280 alpha=98.76 beta=98.76 gamma=118.75
Last column: nearest neighbours and their distance in Å.
Fractional coordinates of all 11 atoms:
Ca: 0.3331 0.6669 0.5000  6 S 2.79-2.84
Ca: 0.6669 0.3331 0.5000  6 S 2.79-2.84
Ta: 0.0000 0.0000 0.5000  6 S 2.48
Tl: 0.8332 0.1668 0.0000  6 S 2.98-3.29
Tl: 0.1668 0.8332 0.0000  6 S 2.98-3.29
S: 0.7759 0.7759 0.7065  1 Ta 2.48
S: 0.0649 0.3619 0.7036  1 Ta 2.48
S: 0.2241 0.2241 0.2935  1 Ta 2.48
S: 0.3619 0.0649 0.7036  1 Ta 2.48
S: 0.9351 0.6381 0.2964  1 Ta 2.48
S: 0.6381 0.9351 0.2964  1 Ta 2.48

Output
VASP energy ... -5.24 eV/atom
Raw formation energy ... -1119 meV per atom
SG ... C2/m, No. 12

# 11
This record from the Alexandria database describes Hf2CO after structural relaxation. The functional is GGA-PBE.

Unit cell a=4.0423 b=4.0423 c=4.0423 alpha=60.00 beta=60.00 gamma=60.00
Last column: nearest neighbours and their distance in Å.
Fractional coordinates of all 4 atoms:
C: 0.0000 0.0000 0.0000  8 Hf 2.48
Hf: 0.2500 0.2500 0.2500  4 O 2.48, 4 C 2.48
Hf: 0.7500 0.7500 0.7500  4 O 2.48, 4 C 2.48
O: 0.5000 0.5000 0.5000  8 Hf 2.48

Output
VASP energy ... -9.41 eV/atom
Energy above the most stable polymorph in this dataset ... 591 meV/atom
Raw formation energy ... -890 meV per atom
SG ... Fm-3m, No. 225

# 12
This record from the Alexandria database describes NbHgBr6 after structural relaxation. The functional is GGA-PBE.

Unit cell a=7.1995 b=7.0976 c=7.0976 alpha=118.54 beta=100.93 gamma=100.93
Last column: nearest neighbours and their distance in Å.
Fractional coordinates of all 8 atoms:
Nb: 0.0000 0.0000 0.0000  6 Br 2.52-2.59
Hg: 0.5000 0.5000 0.5000  4 Br 2.86
Br: 0.2104 0.7898 0.7898  1 Nb 2.52
Br: 0.7715 0.6252 0.9228  1 Nb 2.59, 1 Hg 2.86
Br: 0.2285 0.3748 0.0772  1 Nb 2.59, 1 Hg 2.86
Br: 0.7896 0.2102 0.2102  1 Nb 2.52
Br: 0.2285 0.0772 0.3748  1 Nb 2.59, 1 Hg 2.86
Br: 0.7715 0.9228 0.6252  1 Nb 2.59, 1 Hg 2.86

Output
VASP energy ... -3.23 eV/atom
Energy above the most stable polymorph in this dataset ... 0 meV/atom
Raw formation energy ... -683 meV per atom
SG ... C2/m, No. 12